(1)
Tb6Ce2PmY3 | PBE-GGA | relaxed

Energy of formation: 0.61 eV/f.u.
Crystal system: monoclinic

Lattice parameters (Å, degrees): 6.173 10.695 11.818 90.00 100.02 90.00
Space group C2/m (No. 12)
Unique sites:
Tb (0.247, 0.000, 0.249) (multiplicity 4)
Tb (0.248, 0.168, 0.751) (multiplicity 8)
Ce (0.000, 0.167, 0.000) (multiplicity 4)
Pm (0.000, 0.500, 0.000) (multiplicity 2)
Y (0.000, 0.000, 0.500) (multiplicity 2)
Y (0.000, 0.334, 0.500) (multiplicity 4)

=====

(2)
Na2NpGeN4 | PBE-GGA | relaxed

Crystal system: monoclinic
Energy relative to the elements, uncorrected: -0.33 eV per atom

Lattice parameters (Å, degrees): 5.540 3.253 6.085 90.00 109.46 90.00
Space group P2/m (No. 10)
Unique sites:
Na (0.000, 0.000, 0.000) (multiplicity 1)
Na (0.500, 0.500, 0.000) (multiplicity 1)
Np (0.000, 0.500, 0.500) (multiplicity 1)
Ge (0.500, 0.000, 0.500) (multiplicity 1)
N (0.214, 0.000, 0.697) (multiplicity 2)
N (0.285, 0.500, 0.313) (multiplicity 2)

=====

(3)
MnOsW2N | PBE-GGA | relaxed

Crystal system: tetragonal
Energy relative to the elements, uncorrected: -0.02 eV per atom

Lattice parameters (Å, degrees): 4.091 4.091 3.819 90.00 90.00 90.00
Space group P4/mmm (No. 123)
Unique sites:
Mn (0.000, 0.000, 0.000) (multiplicity 1)
Os (0.500, 0.500, 0.000) (multiplicity 1)
W (0.000, 0.500, 0.500) (multiplicity 2)
N (0.000, 0.000, 0.500) (multiplicity 1)

=====

(4)
BaTa5 | PBE-GGA | relaxed

Energy of formation: 4.39 eV/f.u.
Crystal system: monoclinic

Lattice parameters (Å, degrees): 12.813 2.995 7.170 90.00 107.17 90.00
Space group Cm (No. 8)
Unique sites:
Ba (0.000, 0.000, 0.000) (multiplicity 2)
Ta (0.040, 0.000, 0.571) (multiplicity 2)
Ta (0.163, 0.500, 0.373) (multiplicity 2)
Ta (0.217, 0.500, 0.873) (multiplicity 2)
Ta (0.320, 0.000, 0.627) (multiplicity 2)
Ta (0.336, 0.000, 0.257) (multiplicity 2)

=====

(5)
KScW2 | PBE-GGA | relaxed

Energy of formation: 2.49 eV/f.u.
Crystal system: tetragonal

Lattice parameters (Å, degrees): 3.261 3.261 9.598 90.00 90.00 90.00
Space group P4mm (No. 99)
Unique sites:
K (0.000, 0.000, 0.000) (multiplicity 1)
Sc (0.500, 0.500, 0.375) (multiplicity 1)
W (0.000, 0.000, 0.557) (multiplicity 1)
W (0.500, 0.500, 0.690) (multiplicity 1)

=====

(6)
ThInH | PBE-GGA | relaxed

Crystal system: tetragonal
Uncorrected energy: -4.60 eV per atom

Lattice parameters (Å, degrees): 3.348 3.348 11.701 90.00 90.00 90.00
Space group I4mm (No. 107)
Unique sites:
Th (0.000, 0.000, 0.000) (multiplicity 2)
In (0.000, 0.000, 0.280) (multiplicity 2)
H (0.000, 0.000, 0.543) (multiplicity 2)

=====

(7)
Mg2ZnAg5 | PBE-GGA | relaxed

Energy of formation: 1.69 eV/f.u.
Crystal system: tetragonal

Lattice parameters (Å, degrees): 6.117 6.117 4.777 90.00 90.00 90.00
Space group P4/mmm (No. 123)
Unique sites:
Mg (0.000, 0.500, 0.000) (multiplicity 2)
Zn (0.000, 0.000, 0.500) (multiplicity 1)
Ag (0.000, 0.000, 0.000) (multiplicity 1)
Ag (0.282, 0.282, 0.500) (multiplicity 4)

=====

(8)
YSc5Ir6 | PBE-GGA | relaxed

Energy of formation: -11.46 eV/f.u.
Crystal system: orthorhombic

Lattice parameters (Å, degrees): 4.619 13.861 6.530 90.00 90.00 90.00
Space group Cmmm (No. 65)
Unique sites:
Y (0.000, 0.000, 0.000) (multiplicity 2)
Sc (0.000, 0.000, 0.500) (multiplicity 2)
Sc (0.000, 0.332, 0.000) (multiplicity 4)
Sc (0.000, 0.333, 0.500) (multiplicity 4)
Ir (0.000, 0.170, 0.255) (multiplicity 8)
Ir (0.000, 0.500, 0.260) (multiplicity 4)

=====

(9)
La6Nd12Y | PBE-GGA | relaxed

Energy of formation: 2.19 eV/f.u.
Crystal system: trigonal

Lattice parameters (Å, degrees): 12.4374 12.4374 15.3515 90.00 90.00 120.00
Space group R-3 (No. 148, hexagonal axes)
Unique sites:
La (0.0124, 0.5920, 0.1867) (multiplicity 18)
Nd (0.0036, 0.8313, 0.3105) (multiplicity 18)
Nd (0.0504, 0.1969, 0.9167) (multiplicity 18)
Y (0.0000, 0.0000, 0.5000) (multiplicity 3)

=====

(10)
CaSc2InAu4 | PBE-GGA | relaxed

Energy of formation: -5.42 eV/f.u.
Crystal system: trigonal

Lattice parameters (Å, degrees): 4.8411 4.8411 24.3122 90.00 90.00 120.00
Space group R-3m (No. 166, hexagonal axes)
Unique sites:
Ca (0.0000, 0.0000, 0.0000) (multiplicity 3)
Sc (0.0000, 0.0000, 0.2457) (multiplicity 6)
In (0.0000, 0.0000, 0.5000) (multiplicity 3)
Au (0.0000, 0.0000, 0.1228) (multiplicity 6)
Au (0.0000, 0.0000, 0.3773) (multiplicity 6)

=====

(11)
CoSbSeBr2 | PBE-GGA | relaxed

Crystal system: tetragonal
Energy relative to the elements, uncorrected: 0.18 eV per atom

Lattice parameters (Å, degrees): 4.803 4.803 4.913 90.00 90.00 90.00
Space group P4/mmm (No. 123)
Unique sites:
Co (0.000, 0.000, 0.000) (multiplicity 1)
Sb (0.500, 0.500, 0.500) (multiplicity 1)
Se (0.000, 0.000, 0.500) (multiplicity 1)
Br (0.000, 0.500, 0.000) (multiplicity 2)

=====

(12)
YTiCu | PBE-GGA | relaxed

Energy of formation: 0.71 eV/f.u.
Crystal system: orthorhombic

Lattice parameters (Å, degrees): 12.215 3.490 6.008 90.00 90.00 90.00
Space group Amm2 (No. 38)
Unique sites:
Y (0.172, 0.000, 0.000) (multiplicity 4)
Ti (0.371, 0.000, 0.335) (multiplicity 4)
Cu (0.000, 0.000, 0.335) (multiplicity 2)
Cu (0.500, 0.000, 0.000) (multiplicity 2)